Crystalline PrCu8Pd4 at its relaxed geometry. Source: Alexandria via LeMat-Bulk, functional GGA-PBE.

ΔH_f (0 K) = -0.174 eV per atom
E_tot = -4.66 eV per atom

a b c (Å): 8.5329 8.5329 5.4256
angles (deg): 90.00 90.00 90.00
Space group I4/mmm (No. 139)
Unique sites:
Pr: 0.0000 0.0000 0.0000 [2 per cell]
Cu: 0.0000 0.2204 0.5000 [8 per cell]
Cu: 0.0000 0.3553 0.0000 [8 per cell]
Pd: 0.2500 0.2500 0.2500 [8 per cell]



Crystalline PrCu2Pd3 at its relaxed geometry. Source: Alexandria via LeMat-Bulk, functional GGA-PBE.

ΔH_f (0 K) = -0.369 eV per atom
E_tot = -5.13 eV per atom

a b c (Å): 5.7436 5.7436 21.6298
angles (deg): 90.00 90.00 120.00
Space group R-3m (No. 166, hexagonal axes)
Unique sites:
Pr: 0.0000 0.0000 0.2124 [6 per cell]
Cu: 0.0000 0.0000 0.0000 [3 per cell]
Cu: 0.0000 0.5000 0.0000 [9 per cell]
Pd: 0.0063 0.5031 0.2362 [18 per cell]



Crystalline Pr4Cu3Pd5 at its relaxed geometry. Source: Alexandria via LeMat-Bulk, functional GGA-PBE.

ΔH_f (0 K) = -0.371 eV per atom
E_tot = -5.15 eV per atom

a b c (Å): 14.1555 4.6316 10.3175
angles (deg): 90.00 127.16 90.00
Space group C2/m (No. 12)
Unique sites:
Pr: 0.0251 0.0000 0.2897 [4 per cell]
Pr: 0.2400 0.5000 0.2453 [4 per cell]
Cu: 0.0000 0.5000 0.0000 [2 per cell]
Cu: 0.2380 0.0000 0.0363 [4 per cell]
Pd: 0.0000 0.0000 0.0000 [2 per cell]
Pd: 0.0826 0.5000 0.6597 [4 per cell]
Pd: 0.1923 0.5000 0.5057 [4 per cell]



Crystalline PrCuPd4 at its relaxed geometry. Source: Alexandria via LeMat-Bulk, functional GGA-PBE.

Distance to the lowest polymorph of the same formula = 0 meV per atom
ΔH_f (0 K) = -0.446 eV per atom
E_tot = -5.39 eV per atom

a b c (Å): 7.5335 4.1075 6.9272
angles (deg): 90.00 90.00 90.00
Space group Pmma (No. 51)
Unique sites:
Pr: 0.2500 0.0000 0.1445 [2 per cell]
Cu: 0.2500 0.0000 0.7316 [2 per cell]
Pd: 0.0000 0.0000 0.5000 [2 per cell]
Pd: 0.0524 0.5000 0.8073 [4 per cell]
Pd: 0.2500 0.5000 0.4621 [2 per cell]